Here is crystalline RePtRh2 at its relaxed geometry from Alexandria via LeMat-Bulk. Energies are from GGA-PBE.

Cell lengths 4.3887, 4.3887, 4.3887 Å; angles 60.00, 60.00, 60.00 degrees
With the nearest neighbours (Å) after each atom.
Positions (direct):
Re  0.0000  0.0000  0.0000  8 Rh 2.69
Pt  0.5000  0.5000  0.5000  8 Rh 2.69
Rh  0.2500  0.2500  0.2500  4 Re 2.69, 4 Pt 2.69
Rh  0.7500  0.7500  0.7500  4 Re 2.69, 4 Pt 2.69

**Energy above the most stable polymorph in this dataset**: 402.0 meV/atom
**Spin magnetization**: 0.00 μB/cell
**Uncorrected energy**: -8.052 eV per atom


Here is crystalline RePt2Rh2 at its relaxed geometry from Alexandria via LeMat-Bulk. Energies are from GGA-PBE.

Cell lengths 10.1039, 10.1039, 10.1039 Å; angles 164.42, 164.42, 22.11 degrees
With the nearest neighbours (Å) after each atom.
Positions (direct):
Re  0.0000  0.0000  0.0000  8 Rh 2.69, 4 Re 2.74
Pt  0.1978  0.1978  0.0000  8 Pt 2.74-2.83, 4 Rh 2.83
Pt  0.8022  0.8022  0.0000  8 Pt 2.74-2.83, 4 Rh 2.83
Rh  0.4059  0.4059  0.0000  4 Re 2.69, 4 Rh 2.74, 4 Pt 2.83
Rh  0.5941  0.5941  0.0000  4 Re 2.69, 4 Rh 2.74, 4 Pt 2.83

**Spin magnetization**: 0.00 μB/cell
**Uncorrected energy**: -7.977 eV per atom


Computed values of formation energy from the elements (unit: eV per formula unit) for the preceding records, in sequence: 0.99; -0.65.